The following is a PBE calculation of a geometry-optimized TbYGaAg structure, from the Alexandria database.

a b c (Å): 7.255 7.255 7.255
angles (deg): 90.00 90.00 90.00
Space group F-43m (No. 216)
Asymmetric unit:
Tb 0.000 0.000 0.000 [4 per cell]
Y 0.000 0.000 0.500 [4 per cell]
Ga 0.250 0.250 0.750 [4 per cell]
Ag 0.250 0.250 0.250 [4 per cell]

Output
calculated formation energy: -469 meV/atom
density of states at the Fermi level: 12.7 states/eV/cell

=====

The following is a PBE calculation of a geometry-optimized Pm2Y5Th3 structure, from the Alexandria database.

a b c (Å): 11.391 5.057 11.370
angles (deg): 90.00 90.04 90.00
Space group C2/m (No. 12)
Asymmetric unit:
Pm 0.098 0.000 0.203 [4 per cell]
Y 0.000 0.500 0.000 [2 per cell]
Y 0.200 0.000 0.897 [4 per cell]
Y 0.200 0.500 0.402 [4 per cell]
Th 0.000 0.000 0.500 [2 per cell]
Th 0.098 0.500 0.699 [4 per cell]

Output
calculated formation energy: 45 meV/atom
density of states at the Fermi level: 29.5 states/eV/cell

=====

The following is a PBE calculation of a geometry-optimized Nd8Sm3Y4 structure, from the Alexandria database.

a b c (Å): 13.975 12.265 6.959
angles (deg): 90.00 118.78 90.00
Space group C2/m (No. 12)
Asymmetric unit:
Nd 0.000 0.205 0.000 [4 per cell]
Nd 0.000 0.252 0.500 [4 per cell]
Nd 0.203 0.000 0.187 [4 per cell]
Nd 0.247 0.500 0.274 [4 per cell]
Sm 0.000 0.000 0.500 [2 per cell]
Sm 0.250 0.250 0.500 [4 per cell]
Y 0.000 0.500 0.000 [2 per cell]
Y 0.000 0.500 0.500 [2 per cell]
Y 0.250 0.250 0.000 [4 per cell]

Output
calculated formation energy: 323 meV/atom
density of states at the Fermi level: 46.5 states/eV/cell

=====

The following is a PBE calculation of a geometry-optimized TmIn2Hg4 structure, from the Alexandria database.

a b c (Å): 5.0204 5.0204 24.8163
angles (deg): 90.00 90.00 120.00
Space group R-3m (No. 166, hexagonal axes)
Asymmetric unit:
Tm 0.0000 0.0000 0.0000 [3 per cell]
In 0.0000 0.0000 0.2521 [6 per cell]
Hg 0.0000 0.0000 0.1331 [6 per cell]
Hg 0.0000 0.0000 0.3826 [6 per cell]

Output
calculated formation energy: -180 meV/atom
density of states at the Fermi level: 7.4 states/eV/cell

=====

The following is a PBE calculation of a geometry-optimized Ac3Zn3Ni2 structure, from the Alexandria database.

a b c (Å): 4.156 11.540 16.719
angles (deg): 90.00 90.00 90.00
Space group Cmcm (No. 63)
Asymmetric unit:
Ac 0.000 0.089 0.250 [4 per cell]
Ac 0.000 0.358 0.091 [8 per cell]
Zn 0.000 0.080 0.057 [8 per cell]
Zn 0.000 0.202 0.750 [4 per cell]
Ni 0.000 0.337 0.620 [8 per cell]

Output
excess energy over the best structure of this formula in the dataset: 0.0000 eV/atom
calculated formation energy: -299 meV/atom
density of states at the Fermi level: 23.5 states/eV/cell

=====

The following is a PBE calculation of a geometry-optimized TcAs2Os structure, from the Alexandria database.

a b c (Å): 2.915 2.915 8.090
angles (deg): 90.00 90.00 90.00
Space group P4mm (No. 99)
Asymmetric unit:
Tc 0.000 0.000 0.000 [1 per cell]
As 0.000 0.000 0.577 [1 per cell]
As 0.500 0.500 0.202 [1 per cell]
Os 0.500 0.500 0.775 [1 per cell]

Output
excess energy over the best structure of this formula in the dataset: 0.0000 eV/atom
calculated formation energy: 28 meV/atom
density of states at the Fermi level: 2.2 states/eV/cell